Entry 1:
LiAgHPt2 after structural relaxation. Source: Alexandria via LeMat-Bulk, functional PBE.

Cell and atoms, written as POSCAR:
```
LiAgHPt2
1.0
3.9123 0.0000 0.0000
0.0000 3.9123 0.0000
0.0000 0.0000 4.3039
Li Ag H Pt
1 1 1 2
Direct
0.0000 0.0000 0.0000
0.5000 0.5000 0.0000
0.5000 0.5000 0.5000
0.0000 0.5000 0.5000
0.5000 0.0000 0.5000
```

Values from the calculation:
Crystal system: tetragonal
N(E_F) (states/eV per atom): 0.413
E (eV per atom): -4.232



Entry 2:
Li2AgHPt after structural relaxation. Source: Alexandria via LeMat-Bulk, functional PBE.

Cell and atoms, written as POSCAR:
```
Li2AgHPt
1.0
4.0349 0.0000 0.0000
0.0000 4.0349 0.0000
0.0000 0.0000 3.7478
Li Ag H Pt
2 1 1 1
Direct
0.0000 0.5000 0.0000
0.5000 0.0000 0.0000
0.0000 0.0000 0.5000
0.5000 0.5000 0.0000
0.5000 0.5000 0.5000
```

Values from the calculation:
Crystal system: tetragonal
N(E_F) (states/eV per atom): 0.261
E (eV per atom): -3.599